[1]
AcPaN: optimized geometry, PBE.

Geometry as extended XYZ:
```
3
Lattice="3.387 0.000 0.000 0.000 3.387 0.000 -1.694 -1.694 6.897" Properties=species:S:1:pos:R:3 pbc="T T T"
Ac 0.000 0.000 0.439
N 0.000 0.000 3.187
Pa 1.694 1.694 3.271
```

ΔE_f (raw) in eV per atom: -0.52
E_tot in eV/atom: -7.832
Theoretical density in g/cm³: 9.906

=====

[2]
BaMg2Mo: optimized geometry, PBE.

Geometry as extended XYZ:
```
4
Lattice="5.415 -0.051 0.000 0.076 5.415 0.000 -2.745 -2.682 3.821" Properties=species:S:1:pos:R:3 pbc="T T T"
Mg 0.000 0.000 0.000
Mg 0.038 2.707 1.910
Mo 2.745 2.682 0.000
Ba 2.708 -0.026 1.910
```

E_tot in eV/atom: -3.196
Theoretical density in g/cm³: 4.178

=====

[3]
Er3P2C: optimized geometry, PBE.

Geometry as extended XYZ:
```
12
Lattice="5.473 0.000 0.000 0.000 7.493 0.005 -2.736 -1.872 5.816" Properties=species:S:1:pos:R:3 pbc="T T T"
P 2.736 -0.001 2.005
P 2.737 3.746 2.007
P 0.000 1.875 3.814
P 0.000 5.621 3.816
Er 2.737 5.619 4.102
Er 2.735 1.873 0.001
Er 2.738 5.620 0.004
Er 2.736 1.873 4.099
Er 0.000 3.747 1.721
Er 0.000 0.001 1.719
C 0.002 1.873 0.001
C 5.470 5.620 0.004
```

E_tot in eV/atom: -6.622
Theoretical density in g/cm³: 8.016

=====

[4]
Ac2ReBi: optimized geometry, PBE.

Geometry as extended XYZ:
```
4
Lattice="3.484 0.000 0.000 1.742 3.017 0.000 1.742 1.006 11.852" Properties=species:S:1:pos:R:3 pbc="T T T"
Bi 3.484 2.012 5.926
Ac 1.742 1.006 9.033
Ac 5.226 3.017 2.819
Re 0.000 0.000 0.000
```

E_tot in eV/atom: -5.207
Theoretical density in g/cm³: 11.317

=====

[5]
TbNbCuRu: optimized geometry, PBE.

Geometry as extended XYZ:
```
4
Lattice="4.664 0.000 0.000 2.332 4.039 0.000 2.332 1.346 3.808" Properties=species:S:1:pos:R:3 pbc="T T T"
Nb 4.664 2.693 1.904
Tb 0.000 0.000 0.000
Ru 2.332 1.346 0.952
Cu 6.996 4.039 2.856
```

E_tot in eV/atom: -7.055
Theoretical density in g/cm³: 9.640

=====

[6]
Pr3TmTl4: optimized geometry, PBE.

Geometry as extended XYZ:
```
8
Lattice="-1.443 3.182 1.596 -3.270 -0.504 -1.952 -5.834 -8.671 12.012" Properties=species:S:1:pos:R:3 pbc="T T T"
Tl -3.673 -5.459 7.562
Tl -2.161 -3.212 4.450
Tl -0.652 -0.969 1.342
Tl -5.182 -7.702 10.670
Pr -5.273 -2.997 5.828
Pr -6.780 -5.236 8.930
Pr -3.767 -0.757 2.726
Tm -2.357 1.339 -0.178
```

E_tot in eV/atom: -3.911
Theoretical density in g/cm³: 9.961

=====

[7]
CsZn2Ag2: optimized geometry, PBE.

Geometry as extended XYZ:
```
5
Lattice="4.864 0.000 0.000 0.000 4.864 0.000 2.432 2.432 5.479" Properties=species:S:1:pos:R:3 pbc="T T T"
Ag 4.864 2.432 2.740
Ag 2.432 4.864 2.740
Zn 2.432 2.432 1.438
Zn 4.864 4.864 4.042
Cs 0.000 0.000 0.000
```

E_tot in eV/atom: -1.714
Theoretical density in g/cm³: 6.143

=====

[8]
Pm2NdIn3Te6: optimized geometry, PBE.

Geometry as extended XYZ:
```
12
Lattice="-1.123 -2.305 -7.372 6.899 -1.185 3.453 -4.493 -6.061 3.957" Properties=species:S:1:pos:R:3 pbc="T T T"
In 0.641 -4.775 0.019
In 3.317 -4.402 3.630
In -2.035 -5.149 -3.592
Te 2.240 -7.145 1.908
Te -0.448 -7.520 -1.719
Te 1.730 -2.031 1.756
Te 3.261 -3.952 -2.008
Te -0.957 -2.406 -1.870
Te -1.979 -5.599 2.045
Pm 4.225 -1.558 -0.155
Pm 1.551 -1.931 -3.764
Nd 0.000 0.000 0.000
```

ΔE_f (raw) in eV per atom: -0.99
E_tot in eV/atom: -4.437
Theoretical density in g/cm³: 5.992